Material: YAg2Ir
Method: DFT, PBE-GGA
State: relaxed

Lattice parameters (Å, degrees): 5.4368 5.4368 5.4368 136.40 136.40 63.36
With the nearest neighbours (Å) after each atom.
Sites, in units of the cell vectors:
Y  0.0000  0.0000  0.0000  4 Ir 2.86, 8 Ag 3.07
Ag  0.2500  0.7500  0.5000  4 Ag 2.86, 4 Ir 3.07, 4 Y 3.07
Ag  0.7500  0.2500  0.5000  4 Ag 2.86, 4 Ir 3.07, 4 Y 3.07
Ir  0.5000  0.5000  0.0000  4 Y 2.86, 8 Ag 3.07

Summary:
offset from the most stable computed form	0.0	kJ/mol of atoms
energy of formation from the pure elements	-0.286	eV per atom
total magnetization	0.000	μB/atom

=====

Material: CaZr2Sc2
Method: DFT, PBE-GGA
State: relaxed

Lattice parameters (Å, degrees): 8.8109 8.8109 3.4166 90.00 90.00 90.00
With the nearest neighbours (Å) after each atom.
Sites, in units of the cell vectors:
Ca  0.0000  0.0000  0.0000  2 Ca 3.42, 4 Zr 3.52, 8 Sc 3.69
Ca  0.5000  0.5000  0.0000  2 Ca 3.42, 4 Zr 3.52, 8 Sc 3.69
Zr  0.1187  0.3813  0.0000  1 Zr 2.96, 6 Sc 3.11-3.12
Zr  0.3813  0.8813  0.0000  1 Zr 2.96, 6 Sc 3.11-3.12
Zr  0.6187  0.1187  0.0000  1 Zr 2.96, 6 Sc 3.11-3.12
Zr  0.8813  0.6187  0.0000  1 Zr 2.96, 6 Sc 3.11-3.12
Sc  0.1714  0.6714  0.5000  6 Zr 3.11-3.12, 2 Sc 3.42
Sc  0.3286  0.1714  0.5000  6 Zr 3.11-3.12, 2 Sc 3.42
Sc  0.6714  0.8286  0.5000  6 Zr 3.11-3.12, 2 Sc 3.42
Sc  0.8286  0.3286  0.5000  6 Zr 3.11-3.12, 2 Sc 3.42

Summary:
offset from the most stable computed form	0.0	kJ/mol of atoms
energy of formation from the pure elements	0.140	eV per atom
total magnetization	0.000	μB/atom

=====

Material: AcSmGdDy
Method: DFT, PBE-GGA
State: relaxed

Lattice parameters (Å, degrees): 5.8652 5.8652 5.8652 60.00 60.00 60.00
With the nearest neighbours (Å) after each atom.
Sites, in units of the cell vectors:
Ac  0.0000  0.0000  0.0000  4 Gd 3.59, 4 Dy 3.59
Sm  0.5000  0.5000  0.5000  4 Gd 3.59, 4 Dy 3.59
Gd  0.2500  0.2500  0.2500  4 Ac 3.59, 4 Sm 3.59
Dy  0.7500  0.7500  0.7500  4 Sm 3.59, 4 Ac 3.59

Summary:
energy of formation from the pure elements	0.120	eV per atom
total magnetization	2.000	μB/atom

=====

Material: CdH4Br3N
Method: DFT, PBE-GGA
State: relaxed

Lattice parameters (Å, degrees): 9.7976 4.2694 15.8860 90.00 90.00 90.00
With the nearest neighbours (Å) after each atom.
Sites, in units of the cell vectors:
Cd  0.1606  0.2500  0.0594  6 Br 2.73-2.91
Cd  0.3394  0.7500  0.5594  6 Br 2.73-2.91
Cd  0.6606  0.2500  0.4406  6 Br 2.73-2.91
Cd  0.8394  0.7500  0.9406  6 Br 2.73-2.91
H  0.0149  0.7500  0.3810  1 N 1.04
H  0.0493  0.2500  0.7168  1 N 1.03
H  0.0983  0.5558  0.3011  1 N 1.04
H  0.0983  0.9442  0.3011  1 N 1.04
H  0.4017  0.0558  0.8011  1 N 1.04
H  0.4017  0.4442  0.8011  1 N 1.04
H  0.4507  0.7500  0.2168  1 N 1.03
H  0.4851  0.2500  0.8810  1 N 1.04
H  0.5149  0.7500  0.1190  1 N 1.04
H  0.5493  0.2500  0.7832  1 N 1.03
H  0.5983  0.5558  0.1989  1 N 1.04
H  0.5983  0.9442  0.1989  1 N 1.04
H  0.9017  0.0558  0.6989  1 N 1.04
H  0.9017  0.4442  0.6989  1 N 1.04
H  0.9507  0.7500  0.2832  1 N 1.03
H  0.9851  0.2500  0.6190  1 N 1.04
Br  0.0302  0.2500  0.9013  3 Cd 2.82-2.91, 1 H 2.94
Br  0.1689  0.2500  0.5057  1 H 2.55, 2 Cd 2.84
Br  0.2443  0.7500  0.7212  2 H 2.39
Br  0.2557  0.2500  0.2212  2 H 2.39
Br  0.3311  0.7500  0.0057  1 H 2.55, 2 Cd 2.84
Br  0.4698  0.7500  0.4013  3 Cd 2.82-2.91, 1 H 2.94
Br  0.5302  0.2500  0.5987  3 Cd 2.82-2.91, 1 H 2.94
Br  0.6689  0.2500  0.9943  1 H 2.55, 2 Cd 2.84
Br  0.7443  0.7500  0.7788  2 H 2.39
Br  0.7557  0.2500  0.2788  2 H 2.39
Br  0.8311  0.7500  0.4943  1 H 2.55, 2 Cd 2.84
Br  0.9698  0.7500  0.0987  3 Cd 2.82-2.91, 1 H 2.94
N  0.0401  0.7500  0.3177  4 H 1.03-1.04
N  0.4599  0.2500  0.8177  4 H 1.03-1.04
N  0.5401  0.7500  0.1823  4 H 1.03-1.04
N  0.9599  0.2500  0.6823  4 H 1.03-1.04

Summary:
offset from the most stable computed form	0.4	kJ/mol of atoms
total magnetization	0.000	μB/atom

=====

Material: AgBiPt
Method: DFT, PBE-GGA
State: relaxed

Lattice parameters (Å, degrees): 13.1316 3.3969 3.3969 59.93 90.00 90.00
With the nearest neighbours (Å) after each atom.
Sites, in units of the cell vectors:
Ag  0.1500  0.0000  0.0000  3 Pt 2.78
Ag  0.8500  0.0000  0.0000  3 Pt 2.78
Bi  0.3370  0.3323  0.3323  3 Pt 2.90, 3 Ag 3.14
Bi  0.6630  0.3323  0.3323  3 Pt 2.90, 3 Ag 3.14
Pt  0.0000  0.6671  0.6671  6 Ag 2.78
Pt  0.5000  0.6654  0.6654  6 Bi 2.90

Summary:
offset from the most stable computed form	28.5	kJ/mol of atoms
energy of formation from the pure elements	0.193	eV per atom
total magnetization	0.000	μB/atom

=====

Material: Na4Cr3NiSe8
Method: DFT, PBE-GGA
State: relaxed

Lattice parameters (Å, degrees): 8.0684 8.0684 8.0684 55.50 55.50 55.50
With the nearest neighbours (Å) after each atom.
Sites, in units of the cell vectors:
Na  0.0000  0.0000  0.0000  6 Se 3.03
Na  0.0000  0.5000  0.5000  6 Se 2.97-3.00
Na  0.5000  0.0000  0.5000  6 Se 2.97-3.00
Na  0.5000  0.5000  0.0000  6 Se 2.97-3.00
Cr  0.0000  0.0000  0.5000  6 Se 2.55-2.56
Cr  0.0000  0.5000  0.0000  6 Se 2.55-2.56
Cr  0.5000  0.0000  0.0000  6 Se 2.55-2.56
Ni  0.5000  0.5000  0.5000  6 Se 2.51
Se  0.2337  0.2337  0.2337  3 Cr 2.56
Se  0.2362  0.7288  0.7288  1 Ni 2.51, 2 Cr 2.55
Se  0.2712  0.2712  0.7638  1 Ni 2.51, 2 Cr 2.55
Se  0.2712  0.7638  0.2712  1 Ni 2.51, 2 Cr 2.55
Se  0.7288  0.2362  0.7288  1 Ni 2.51, 2 Cr 2.55
Se  0.7288  0.7288  0.2362  1 Ni 2.51, 2 Cr 2.55
Se  0.7638  0.2712  0.2712  1 Ni 2.51, 2 Cr 2.55
Se  0.7663  0.7663  0.7663  3 Cr 2.56

Summary:
uncorrected formation energy	-0.724	eV/atom
total magnetization	0.509	μB/atom

=====

Material: Ca3PmPr2Te6
Method: DFT, PBE-GGA
State: relaxed

Lattice parameters (Å, degrees): 7.7298 7.7298 7.9257 99.38 99.38 119.94
With the nearest neighbours (Å) after each atom.
Sites, in units of the cell vectors:
Ca  0.0000  0.0000  0.0000  6 Te 3.15-3.18
Ca  0.3321  0.6679  0.0000  6 Te 3.15-3.17
Ca  0.6679  0.3321  0.0000  6 Te 3.15-3.17
Pm  0.5000  0.5000  0.5000  6 Te 3.19-3.20
Pr  0.1661  0.8339  0.5000  6 Te 3.22
Pr  0.8339  0.1661  0.5000  6 Te 3.22
Te  0.0846  0.4150  0.2444  3 Ca 3.15-3.17, 1 Pm 3.19, 2 Pr 3.22
Te  0.2557  0.2557  0.7567  3 Ca 3.16-3.18, 1 Pm 3.20, 2 Pr 3.22
Te  0.4150  0.0846  0.2444  3 Ca 3.15-3.17, 1 Pm 3.19, 2 Pr 3.22
Te  0.5850  0.9154  0.7556  3 Ca 3.15-3.17, 1 Pm 3.19, 2 Pr 3.22
Te  0.7443  0.7443  0.2433  3 Ca 3.16-3.18, 1 Pm 3.20, 2 Pr 3.22
Te  0.9154  0.5850  0.7556  3 Ca 3.15-3.17, 1 Pm 3.19, 2 Pr 3.22

Summary:
uncorrected formation energy	-1.517	eV/atom
total magnetization	0.000	μB/atom

=====

Material: Ac6Rh2Br3N
Method: DFT, PBE-GGA
State: relaxed

Lattice parameters (Å, degrees): 7.3152 7.3152 8.6307 98.20 98.20 120.11
With the nearest neighbours (Å) after each atom.
Sites, in units of the cell vectors:
Ac  0.0635  0.3788  0.1880  1 N 2.78, 2 Rh 2.95
Ac  0.2503  0.2503  0.8132  1 N 2.76, 2 Rh 2.95
Ac  0.3788  0.0635  0.1880  1 N 2.78, 2 Rh 2.95
Ac  0.6212  0.9365  0.8120  1 N 2.78, 2 Rh 2.95
Ac  0.7497  0.7497  0.1868  1 N 2.76, 2 Rh 2.95
Ac  0.9365  0.6212  0.8120  1 N 2.78, 2 Rh 2.95
Rh  0.3336  0.6664  0.0000  6 Ac 2.95
Rh  0.6664  0.3336  0.0000  6 Ac 2.95
Br  0.1706  0.8294  0.5000  6 Ac 3.52-3.61
Br  0.5000  0.5000  0.5000  6 Ac 3.50-3.67
Br  0.8294  0.1706  0.5000  6 Ac 3.52-3.61
N  0.0000  0.0000  0.0000  6 Ac 2.76-2.78

Summary:
uncorrected formation energy	-1.149	eV/atom
total magnetization	0.000	μB/atom

=====

Material: BeB2Mo2
Method: DFT, PBE-GGA
State: relaxed

Lattice parameters (Å, degrees): 5.6701 5.6701 3.1532 90.00 90.00 90.00
With the nearest neighbours (Å) after each atom.
Sites, in units of the cell vectors:
Be  0.0000  0.0000  0.0000  4 B 2.29
Be  0.5000  0.5000  0.0000  4 B 2.29
B  0.1132  0.3868  0.0000  1 B 1.82
B  0.3868  0.8868  0.0000  1 B 1.82
B  0.6132  0.1132  0.0000  1 B 1.82
B  0.8868  0.6132  0.0000  1 B 1.82
Mo  0.1779  0.6779  0.5000  6 B 2.30-2.31
Mo  0.3221  0.1779  0.5000  6 B 2.30-2.31
Mo  0.6779  0.8221  0.5000  6 B 2.30-2.31
Mo  0.8221  0.3221  0.5000  6 B 2.30-2.31

Summary:
offset from the most stable computed form	2.9	kJ/mol of atoms
energy of formation from the pure elements	-0.384	eV per atom
total magnetization	0.000	μB/atom

=====

Material: Sc2Be2Fe5Mo
Method: DFT, PBE-GGA
State: relaxed

Lattice parameters (Å, degrees): 8.8569 8.8569 3.1850 90.00 90.00 90.00
With the nearest neighbours (Å) after each atom.
Sites, in units of the cell vectors:
Sc  0.1745  0.3255  0.0000  3 Be 2.57-2.66, 10 Fe 2.70-2.85
Sc  0.3255  0.8255  0.0000  3 Be 2.57-2.66, 10 Fe 2.70-2.85
Sc  0.6745  0.1745  0.0000  3 Be 2.57-2.66, 10 Fe 2.70-2.85
Sc  0.8255  0.6745  0.0000  3 Be 2.57-2.66, 10 Fe 2.70-2.85
Be  0.1204  0.6204  0.0000  6 Fe 2.19-2.24
Be  0.3796  0.1204  0.0000  6 Fe 2.19-2.24
Be  0.6204  0.8796  0.0000  6 Fe 2.19-2.24
Be  0.8796  0.3796  0.0000  6 Fe 2.19-2.24
Fe  0.0000  0.5000  0.5000  4 Be 2.19
Fe  0.0658  0.7898  0.5000  2 Be 2.24
Fe  0.2102  0.0658  0.5000  2 Be 2.24
Fe  0.2898  0.5658  0.5000  2 Be 2.24
Fe  0.4342  0.2898  0.5000  2 Be 2.24
Fe  0.5000  0.0000  0.5000  4 Be 2.19
Fe  0.5658  0.7102  0.5000  2 Be 2.24
Fe  0.7102  0.4342  0.5000  2 Be 2.24
Fe  0.7898  0.9342  0.5000  2 Be 2.24
Fe  0.9342  0.2102  0.5000  2 Be 2.24
Mo  0.0000  0.0000  0.0000  8 Fe 2.52
Mo  0.5000  0.5000  0.0000  8 Fe 2.52

Summary:
energy of formation from the pure elements	-0.097	eV per atom
total magnetization	0.469	μB/atom

=====

Material: Ca2Sm2AlPd4
Method: DFT, PBE-GGA
State: relaxed

Lattice parameters (Å, degrees): 6.6127 6.6127 6.6127 117.25 117.25 94.83
With the nearest neighbours (Å) after each atom.
Sites, in units of the cell vectors:
Ca  0.2500  0.7500  0.5000  8 Pd 3.31, 4 Sm 3.50
Ca  0.7500  0.2500  0.5000  8 Pd 3.31, 4 Sm 3.50
Sm  0.1809  0.1809  0.0000  1 Al 2.86, 4 Pd 2.91
Sm  0.8191  0.8191  0.0000  1 Al 2.86, 4 Pd 2.91
Al  0.5000  0.5000  0.0000  4 Pd 2.45
Pd  0.2483  0.2483  0.4966  1 Al 2.45
Pd  0.2483  0.7517  0.0000  1 Al 2.45
Pd  0.7517  0.2483  0.0000  1 Al 2.45
Pd  0.7517  0.7517  0.5034  1 Al 2.45

Summary:
energy of formation from the pure elements	-0.440	eV per atom
total magnetization	0.000	μB/atom

=====

Material: SnSbTe
Method: DFT, PBE-GGA
State: relaxed

Lattice parameters (Å, degrees): 4.3930 4.3930 5.5129 90.00 90.00 120.00
With the nearest neighbours (Å) after each atom.
Sites, in units of the cell vectors:
Sn  0.0000  0.0000  0.0000  3 Sb 3.02, 3 Te 3.15
Sb  0.6667  0.3333  0.7028  3 Sn 3.02, 3 Te 3.23
Te  0.3333  0.6667  0.3403  3 Sn 3.15, 3 Sb 3.23

Summary:
uncorrected formation energy	-0.015	eV/atom
offset from the most stable computed form	0.3	kJ/mol of atoms
total magnetization	0.000	μB/atom

=====

Material: Rb2Na2Bi
Method: DFT, PBE-GGA
State: relaxed

Lattice parameters (Å, degrees): 7.4098 7.4098 13.6125 104.93 104.93 45.23
With the nearest neighbours (Å) after each atom.
Sites, in units of the cell vectors:
Rb  0.0386  0.0386  0.3434  1 Na 3.58, 1 Bi 3.87
Rb  0.2828  0.2828  0.1559  2 Bi 3.82, 4 Na 3.92-4.20
Rb  0.7172  0.7172  0.8441  2 Bi 3.82, 4 Na 3.92-4.20
Rb  0.9614  0.9614  0.6566  1 Na 3.58, 1 Bi 3.87
Na  0.3089  0.3089  0.4533  3 Bi 3.26-3.28, 1 Rb 3.58
Na  0.4210  0.4210  0.8776  1 Bi 3.16, 1 Na 3.43
Na  0.5790  0.5790  0.1224  1 Bi 3.16, 1 Na 3.43
Na  0.6911  0.6911  0.5467  3 Bi 3.26-3.28, 1 Rb 3.58
Bi  0.2470  0.2470  0.6681  4 Na 3.16-3.28
Bi  0.7530  0.7530  0.3319  4 Na 3.16-3.28

Summary:
offset from the most stable computed form	0.0	kJ/mol of atoms
energy of formation from the pure elements	-0.239	eV per atom
total magnetization	0.000	μB/atom

=====

Material: Nb2TcTe2
Method: DFT, PBE-GGA
State: relaxed

Lattice parameters (Å, degrees): 7.4394 7.4394 3.5784 90.00 90.00 90.00
With the nearest neighbours (Å) after each atom.
Sites, in units of the cell vectors:
Nb  0.1375  0.3625  0.0000  6 Te 2.77-2.86, 1 Nb 2.89
Nb  0.3625  0.8625  0.0000  6 Te 2.77-2.86, 1 Nb 2.89
Nb  0.6375  0.1375  0.0000  6 Te 2.77-2.86, 1 Nb 2.89
Nb  0.8625  0.6375  0.0000  6 Te 2.77-2.86, 1 Nb 2.89
Tc  0.0000  0.0000  0.5000  4 Te 2.79
Tc  0.5000  0.5000  0.5000  4 Te 2.79
Te  0.1616  0.6616  0.5000  6 Nb 2.77-2.86, 2 Tc 2.79
Te  0.3384  0.1616  0.5000  6 Nb 2.77-2.86, 2 Tc 2.79
Te  0.6616  0.8384  0.5000  6 Nb 2.77-2.86, 2 Tc 2.79
Te  0.8384  0.3384  0.5000  6 Nb 2.77-2.86, 2 Tc 2.79

Summary:
uncorrected formation energy	0.336	eV/atom
offset from the most stable computed form	0.0	kJ/mol of atoms
total magnetization	0.000	μB/atom

=====

Material: Ca4Cd5Ge6
Method: DFT, PBE-GGA
State: relaxed

Lattice parameters (Å, degrees): 10.3201 10.3201 16.1051 90.00 90.00 154.96
With the nearest neighbours (Å) after each atom.
Sites, in units of the cell vectors:
Ca  0.0182  0.9818  0.5000  7 Ge 3.12-3.28, 3 Cd 3.39-3.49
Ca  0.0366  0.9634  0.7664  6 Ge 3.20-3.23, 5 Cd 3.25-3.33
Ca  0.1621  0.8379  0.2997  6 Ge 3.10-3.30
Ca  0.1736  0.8264  0.9428  6 Ge 3.00-3.16
Ca  0.8264  0.1736  0.4428  6 Ge 3.00-3.16
Ca  0.8379  0.1621  0.7997  6 Ge 3.10-3.30
Ca  0.9634  0.0366  0.2664  6 Ge 3.20-3.23, 5 Cd 3.25-3.33
Ca  0.9818  0.0182  0.0000  7 Ge 3.12-3.28, 3 Cd 3.39-3.49
Cd  0.1538  0.8462  0.6242  4 Ge 2.80-2.83, 1 Cd 3.00
Cd  0.3024  0.6976  0.6179  4 Ge 2.77-2.87, 2 Cd 2.98-3.00
Cd  0.3412  0.6588  0.2730  4 Ge 2.70-2.93
Cd  0.3504  0.6496  0.9758  4 Ge 2.71-2.94
Cd  0.4406  0.5594  0.6828  4 Ge 2.71-2.81, 1 Cd 2.98
Cd  0.5594  0.4406  0.1828  4 Ge 2.71-2.81, 1 Cd 2.98
Cd  0.6496  0.3504  0.4758  4 Ge 2.71-2.94
Cd  0.6588  0.3412  0.7730  4 Ge 2.70-2.93
Cd  0.6976  0.3024  0.1179  4 Ge 2.77-2.87, 2 Cd 2.98-3.00
Cd  0.8462  0.1538  0.1242  4 Ge 2.80-2.83, 1 Cd 3.00
Ge  0.1087  0.8913  0.1107  4 Cd 2.71-2.87, 1 Ca 3.00
Ge  0.2258  0.7742  0.4751  4 Cd 2.71-2.81
Ge  0.2341  0.7659  0.7683  4 Cd 2.70-2.83
Ge  0.4298  0.5702  0.1291  5 Cd 2.75-2.94
Ge  0.4331  0.5669  0.4061  1 Ge 2.50
Ge  0.4492  0.5508  0.8568  1 Ge 2.50, 1 Cd 2.76
Ge  0.5508  0.4492  0.3568  1 Ge 2.50, 1 Cd 2.76
Ge  0.5669  0.4331  0.9061  1 Ge 2.50
Ge  0.5702  0.4298  0.6291  5 Cd 2.75-2.94
Ge  0.7659  0.2341  0.2683  4 Cd 2.70-2.83
Ge  0.7742  0.2258  0.9751  4 Cd 2.71-2.81
Ge  0.8913  0.1087  0.6107  4 Cd 2.71-2.87, 1 Ca 3.00

Summary:
energy of formation from the pure elements	-0.319	eV per atom
total magnetization	0.000	μB/atom

=====

Material: KTa2
Method: DFT, PBE-GGA
State: relaxed

Lattice parameters (Å, degrees): 2.9366 2.9366 9.1401 90.00 90.00 120.00
With the nearest neighbours (Å) after each atom.
Sites, in units of the cell vectors:
K  0.0000  0.0000  0.0000  6 K 2.94
Ta  0.3333  0.6667  0.3601  9 Ta 2.94-3.07
Ta  0.6667  0.3333  0.6399  9 Ta 2.94-3.07

Summary:
offset from the most stable computed form	36.8	kJ/mol of atoms
energy of formation from the pure elements	0.930	eV per atom
total magnetization	0.000	μB/atom

=====

VASP energy, respectively: -5.5433 -6.2124 -6.7576 -3.7344 -4.0647 -4.9616 -4.7812 -5.5403 -8.1331 -7.4231 -4.6575 -3.7707 -1.9297 -7.0221 -3.0047 -7.3374 eV/atom.